No. 1
# KMnGa2Sn

An optimized crystal structure of KMnGa2Sn (PBE, Alexandria).

Computed properties:
As for the calculated density: 5.1 g/cm3. The value obtained for the energy of formation from the pure elements is -0.42 eV/f.u. The value obtained for the density of states at the Fermi level is 0.55 states/eV/f.u.

a = 4.812 Å, b = 4.812 Å, c = 4.929 Å
α = 90.00°, β = 90.00°, γ = 90.00°
Element x y z (fractional)
K 0.500 0.500 0.500
Sn 0.000 0.000 0.500
Ga 0.000 0.500 0.000
Ga 0.500 0.000 0.000
Mn 0.000 0.000 0.000

No. 2
# K2MnGaTe4

An optimized crystal structure of K2MnGaTe4 (PBE, Alexandria).

Computed properties:
For the uncorrected formation energy, the calculation gives -0.4229 eV/atom. As for the calculated density: 4.8 g/cm3. The value obtained for the density of states at the Fermi level is 4.38 states/eV/f.u.

a = 8.858 Å, b = 8.858 Å, c = 8.805 Å
α = 119.79°, β = 119.79°, γ = 88.80°
Site moments in Bohr magnetons follow the coordinates.
Element x y z (fractional)
K 0.000 0.000 0.500  0.00
K 0.500 0.000 0.500  0.00
K 0.500 0.500 0.000  0.00
K 0.500 0.000 0.000  0.00
Te 0.222 0.278 0.030  -0.06
Te 0.776 0.311 0.543  -0.08
Te 0.222 0.278 0.470  -0.06
Te 0.811 0.276 0.043  -0.08
Te 0.778 0.722 0.530  -0.06
Te 0.778 0.722 0.970  -0.06
Te 0.224 0.689 0.457  -0.08
Te 0.189 0.724 0.957  -0.08
Ga 0.500 0.500 0.500  -0.03
Ga 0.000 0.000 0.000  -0.03
Mn 0.000 0.500 0.000  3.61
Mn 0.000 0.500 0.500  3.61

no.,M_tot (μB/cell)
1,0.000
2,6.748